# 1
Ho12Ni6Pd | GGA-PBE | optimized geometry

Cell: 8.0079 8.0079 8.0079 Å, 100.07 100.07 100.07°
Last column: nearest neighbours and their distance in Å.
Fractional coordinates of all 19 atoms:
Ni 0.1345 0.6150 0.3127  6 Ho 2.69-2.95
Ni 0.6150 0.3127 0.1345  6 Ho 2.69-2.95
Ni 0.6873 0.8655 0.3850  6 Ho 2.69-2.95
Ni 0.3127 0.1345 0.6150  6 Ho 2.69-2.95
Ni 0.8655 0.3850 0.6873  6 Ho 2.69-2.95
Ni 0.3850 0.6873 0.8655  6 Ho 2.69-2.95
Ho 0.3291 0.0878 0.9421  2 Ni 2.69, 1 Pd 2.75
Ho 0.6709 0.9122 0.0579  2 Ni 2.69, 1 Pd 2.75
Ho 0.9421 0.3291 0.0878  2 Ni 2.69, 1 Pd 2.75
Ho 0.0579 0.6709 0.9122  2 Ni 2.69, 1 Pd 2.75
Ho 0.9122 0.0579 0.6709  2 Ni 2.69, 1 Pd 2.75
Ho 0.4126 0.5694 0.1789  4 Ni 2.69-2.95
Ho 0.0878 0.9421 0.3291  2 Ni 2.69, 1 Pd 2.75
Ho 0.4306 0.8211 0.5874  4 Ni 2.69-2.95
Ho 0.5874 0.4306 0.8211  4 Ni 2.69-2.95
Ho 0.1789 0.4126 0.5694  4 Ni 2.69-2.95
Ho 0.5694 0.1789 0.4126  4 Ni 2.69-2.95
Ho 0.8211 0.5874 0.4306  4 Ni 2.69-2.95
Pd 0.0000 0.0000 0.0000  6 Ho 2.75

Summary:
The spin magnetization is 0.00 μB per atom. The value obtained for the formation energy is -237 meV/atom. The density of states at the Fermi level comes out at 18.40 states/eV/f.u. The value obtained for the distance to the lowest polymorph of the same formula is 2.56 eV/f.u. Its space group is R-3 (148).



# 2
La2AlSn4Pd3 | GGA-PBE | optimized geometry

Cell: 4.4909 4.4909 11.5115 Å, 90.00 90.00 90.00°
Last column: nearest neighbours and their distance in Å.
Fractional coordinates of all 10 atoms:
La 0.0000 0.5000 0.7513  8 Sn 3.43-3.64, 6 Pd 3.44-3.66, 2 Al 3.66
La 0.5000 0.0000 0.2487  8 Sn 3.43-3.64, 6 Pd 3.44-3.66, 2 Al 3.66
Sn 0.0000 0.5000 0.3613  3 Pd 2.62-2.76, 2 Al 2.76
Sn 0.0000 0.0000 0.0000  4 Pd 2.72
Sn 0.5000 0.0000 0.6387  3 Pd 2.62-2.76, 2 Al 2.76
Sn 0.5000 0.5000 0.0000  4 Pd 2.72
Pd 0.0000 0.0000 0.5000  4 Sn 2.76
Pd 0.5000 0.0000 0.8665  5 Sn 2.62-2.72
Pd 0.0000 0.5000 0.1335  5 Sn 2.62-2.72
Al 0.5000 0.5000 0.5000  4 Sn 2.76

Summary:
The spin magnetization is 0.00 μB per atom. The value obtained for the formation energy is -749 meV/atom. The density of states at the Fermi level comes out at 4.46 states/eV/f.u. Its space group is P-4m2 (115).



# 3
Nb4Mo2Ru | GGA-PBE | optimized geometry

Cell: 5.4975 5.4975 5.4975 Å, 108.78 109.82 109.82°
Last column: nearest neighbours and their distance in Å.
Fractional coordinates of all 7 atoms:
Mo 0.5000 0.5000 0.0000  8 Nb 2.75
Mo 0.5000 0.0000 0.5000  8 Nb 2.75
Nb 0.5000 0.5000 0.5000  4 Mo 2.75, 2 Ru 2.75
Nb 0.0000 0.5000 0.0000  2 Ru 2.75, 4 Mo 2.75
Nb 0.5000 0.0000 0.0000  4 Mo 2.75, 2 Ru 2.75
Nb 0.0000 0.0000 0.5000  2 Ru 2.75, 4 Mo 2.75
Ru 0.0000 0.0000 0.0000  8 Nb 2.75

Summary:
The spin magnetization is 0.00 μB per atom. The value obtained for the formation energy is 116 meV/atom. The density of states at the Fermi level comes out at 4.53 states/eV/f.u. The value obtained for the distance to the lowest polymorph of the same formula is 0.00 eV/f.u. Its space group is I4/mmm (139).



# 4
Cr2WCl | GGA-PBE | optimized geometry

Cell: 4.5814 4.5814 4.5814 Å, 125.91 125.91 80.04°
Last column: nearest neighbours and their distance in Å.
Fractional coordinates of all 4 atoms:
Cr 0.5000 0.5000 0.0000  4 Cl 2.72, 4 W 2.72, 4 Cr 2.95
Cr 0.0000 0.0000 0.0000  4 W 2.72, 4 Cl 2.72, 4 Cr 2.95
W 0.2500 0.7500 0.5000  8 Cr 2.72, 4 Cl 2.95
Cl 0.7500 0.2500 0.5000  8 Cr 2.72, 4 W 2.95

Summary:
The spin magnetization is 1.08 μB per atom. The density of states at the Fermi level comes out at 3.30 states/eV/f.u. The calculation puts the formation energy without anion corrections at 4.28 eV/f.u. The value obtained for the distance to the lowest polymorph of the same formula is 3.35 eV/f.u. Its space group is I4/mmm (139).



Repeat the first record exactly.
Ho12Ni6Pd | GGA-PBE | optimized geometry

Cell: 8.0079 8.0079 8.0079 Å, 100.07 100.07 100.07°
Last column: nearest neighbours and their distance in Å.
Fractional coordinates of all 19 atoms:
Ni 0.1345 0.6150 0.3127  6 Ho 2.69-2.95
Ni 0.6150 0.3127 0.1345  6 Ho 2.69-2.95
Ni 0.6873 0.8655 0.3850  6 Ho 2.69-2.95
Ni 0.3127 0.1345 0.6150  6 Ho 2.69-2.95
Ni 0.8655 0.3850 0.6873  6 Ho 2.69-2.95
Ni 0.3850 0.6873 0.8655  6 Ho 2.69-2.95
Ho 0.3291 0.0878 0.9421  2 Ni 2.69, 1 Pd 2.75
Ho 0.6709 0.9122 0.0579  2 Ni 2.69, 1 Pd 2.75
Ho 0.9421 0.3291 0.0878  2 Ni 2.69, 1 Pd 2.75
Ho 0.0579 0.6709 0.9122  2 Ni 2.69, 1 Pd 2.75
Ho 0.9122 0.0579 0.6709  2 Ni 2.69, 1 Pd 2.75
Ho 0.4126 0.5694 0.1789  4 Ni 2.69-2.95
Ho 0.0878 0.9421 0.3291  2 Ni 2.69, 1 Pd 2.75
Ho 0.4306 0.8211 0.5874  4 Ni 2.69-2.95
Ho 0.5874 0.4306 0.8211  4 Ni 2.69-2.95
Ho 0.1789 0.4126 0.5694  4 Ni 2.69-2.95
Ho 0.5694 0.1789 0.4126  4 Ni 2.69-2.95
Ho 0.8211 0.5874 0.4306  4 Ni 2.69-2.95
Pd 0.0000 0.0000 0.0000  6 Ho 2.75

Summary:
The spin magnetization is 0.00 μB per atom. The value obtained for the formation energy is -237 meV/atom. The density of states at the Fermi level comes out at 18.40 states/eV/f.u. The value obtained for the distance to the lowest polymorph of the same formula is 2.56 eV/f.u. Its space group is R-3 (148).



Number 4 is which compound? Cr2WCl